A plane-wave DFT calculation with PBE was carried out for a relaxed structure of Eu2MgZn.

a b c (Å): 3.8225 3.8225 8.0110
angles (deg): 90.00 90.00 90.00
Space group P4/mmm (No. 123)
Asymmetric unit:
Eu  0.0000  0.0000  0.2256 [2 per cell]
Mg  0.5000  0.5000  0.5000 [1 per cell]
Zn  0.5000  0.5000  0.0000 [1 per cell]

Output
* V: 117 Å³/f.u.
* formation energy from the elements: -0.180 eV per atom
* total DFT energy (no corrections): -24.138 eV/cell
* relative energy among the computed polymorphs: 0.0 meV per atom

---

A plane-wave DFT calculation with PBE was carried out for a relaxed structure of Eu2MgZn.

a b c (Å): 7.7727 7.7727 7.7727
angles (deg): 90.00 90.00 90.00
Space group Fm-3m (No. 225)
Asymmetric unit:
Eu  0.2500  0.2500  0.2500 [8 per cell]
Mg  0.0000  0.0000  0.0000 [4 per cell]
Zn  0.0000  0.0000  0.5000 [4 per cell]

Output
* V: 117 Å³/f.u.
* formation energy from the elements: -0.142 eV per atom
* total DFT energy (no corrections): -95.947 eV/cell
* relative energy among the computed polymorphs: 37.9 meV per atom

---

A plane-wave DFT calculation with PBE was carried out for a relaxed structure of Eu2MgZr.

a b c (Å): 3.3300 3.3300 36.7874
angles (deg): 90.00 90.00 120.00
Space group R-3m (No. 166, hexagonal axes)
Asymmetric unit:
Eu  0.0000  0.0000  0.0862 [6 per cell]
Mg  0.0000  0.0000  0.5000 [3 per cell]
Zr  0.0000  0.0000  0.0000 [3 per cell]

Output
* V: 118 Å³/f.u.
* formation energy from the elements: 0.378 eV per atom
* total DFT energy (no corrections): -87.536 eV/cell

---

A plane-wave DFT calculation with PBE was carried out for a relaxed structure of EuMg4Zr.

a b c (Å): 8.4466 8.4466 8.4466
angles (deg): 90.00 90.00 90.00
Space group F-43m (No. 216)
Asymmetric unit:
Eu  0.0000  0.0000  0.0000 [4 per cell]
Mg  0.1236  0.1236  0.3764 [16 per cell]
Zr  0.2500  0.2500  0.7500 [4 per cell]

Output
* V: 151 Å³/f.u.
* formation energy from the elements: 0.098 eV per atom
* total DFT energy (no corrections): -98.462 eV/cell

---

A plane-wave DFT calculation with PBE was carried out for a relaxed structure of Eu6Mn.

a b c (Å): 9.2895 9.2895 9.2895
angles (deg): 90.00 90.00 90.00
Space group Im-3m (No. 229)
Asymmetric unit:
Eu  0.0000  0.2500  0.5000 [12 per cell]
Mn  0.0000  0.0000  0.0000 [2 per cell]

Output
* V: 401 Å³/f.u.
* formation energy from the elements: 1.427 eV per atom
* total DFT energy (no corrections): -121.654 eV/cell

---

A plane-wave DFT calculation with PBE was carried out for a relaxed structure of EuMn6.

a b c (Å): 6.1331 6.1331 6.1331
angles (deg): 90.00 90.00 90.00
Space group Im-3m (No. 229)
Asymmetric unit:
Eu  0.0000  0.0000  0.0000 [2 per cell]
Mn  0.0000  0.2500  0.5000 [12 per cell]

Output
* V: 115 Å³/f.u.
* formation energy from the elements: 0.746 eV per atom
* total DFT energy (no corrections): -120.137 eV/cell

---

total DFT energy (no corrections) of number 4 (EuMg4Zr)?
-98.462 eV/cell

---

What is the formation energy from the elements in the fourth record?
0.098 eV per atom

---

The highest V belongs to which entry?
Eu6Mn

---

total DFT energy (no corrections) of number 5 (Eu6Mn)?
-121.654 eV/cell